1.
This record from the Alexandria database describes crystalline ZrTa2TlSn at its relaxed geometry. The functional is PBE-GGA.

Summary:
**DFT formation energy**: 1.72 eV/atom
**Density of states at the Fermi level**: 8.97 states/eV/cell
**Symmetry**: P4/mmm

abc: 5.0906 5.2842 5.0906
angles: 90.00 90.00 90.00
Last column: nearest neighbours and their distance in Å.
Fractional coordinates of all 5 atoms:
Sn: 0.5000 0.5000 0.5000  4 Zr 3.60, 8 Ta 3.67
Zr: 0.0000 0.5000 0.0000  2 Tl 2.64
Ta: 0.5000 0.0000 0.0000  2 Tl 2.55
Ta: 0.0000 0.0000 0.5000  2 Tl 2.55
Tl: 0.0000 0.0000 0.0000  4 Ta 2.55, 2 Zr 2.64

2.
This record from the Alexandria database describes crystalline UTaSn at its relaxed geometry. The functional is PBE-GGA.

Summary:
**DFT formation energy**: 0.49 eV/atom
**Density of states at the Fermi level**: 9.40 states/eV/cell
**Symmetry**: Pmmn

abc: 5.6489 2.9090 8.5180
angles: 90.00 90.00 90.00
Last column: nearest neighbours and their distance in Å.
Fractional coordinates of all 6 atoms:
Ta: 0.5000 0.5000 0.4486  2 Ta 2.91, 2 U 2.97, 1 Sn 3.03
Ta: 0.0000 0.0000 0.5514  2 Ta 2.91, 2 U 2.97, 1 Sn 3.03
Sn: 0.5000 0.5000 0.0926  2 Sn 2.91, 1 Ta 3.03, 4 U 3.12-3.24
Sn: 0.0000 0.0000 0.9074  2 Sn 2.91, 1 Ta 3.03, 4 U 3.12-3.24
U: 0.0000 0.5000 0.2477  2 U 2.91, 2 Ta 2.97, 4 Sn 3.12-3.24
U: 0.5000 0.0000 0.7523  2 U 2.91, 2 Ta 2.97, 4 Sn 3.12-3.24

3.
This record from the Alexandria database describes crystalline UTa2Sn at its relaxed geometry. The functional is PBE-GGA.

Summary:
**DFT formation energy**: 0.17 eV/atom
**Density of states at the Fermi level**: 6.70 states/eV/cell
**Symmetry**: P4/mmm

abc: 3.7562 4.6225 4.6225
angles: 90.00 90.00 90.00
Last column: nearest neighbours and their distance in Å.
Fractional coordinates of all 4 atoms:
U: 0.5000 0.0000 0.0000  8 Ta 2.98, 4 Sn 3.27
Ta: 0.0000 0.0000 0.5000  4 Sn 2.98, 4 U 2.98, 4 Ta 3.27
Ta: 0.0000 0.5000 0.0000  4 U 2.98, 4 Sn 2.98, 4 Ta 3.27
Sn: 0.5000 0.5000 0.5000  8 Ta 2.98, 4 U 3.27

4.
This record from the Alexandria database describes crystalline TaVSn2 at its relaxed geometry. The functional is PBE-GGA.

Summary:
**DFT formation energy**: 0.59 eV/atom
**Energy above the most stable polymorph in this dataset**: 257.6 meV/atom
**Density of states at the Fermi level**: 6.95 states/eV/cell
**Symmetry**: I-42d

abc: 7.5638 7.5638 6.1076
angles: 51.74 51.74 90.00
Last column: nearest neighbours and their distance in Å.
Fractional coordinates of all 8 atoms:
V: 0.2500 0.7500 0.5000  4 Sn 2.71, 2 Ta 2.95
V: 0.5000 0.5000 0.0000  4 Sn 2.71, 2 Ta 2.95
Ta: 0.7500 0.2500 0.5000  4 Sn 2.84, 2 V 2.95
Ta: 0.0000 0.0000 0.0000  4 Sn 2.84, 2 V 2.95
Sn: 0.1370 0.6250 0.2500  2 V 2.71, 2 Ta 2.84, 2 Sn 2.95
Sn: 0.3750 0.3870 0.7500  2 V 2.71, 2 Ta 2.84, 2 Sn 2.95
Sn: 0.8750 0.8630 0.7500  2 V 2.71, 2 Ta 2.84, 2 Sn 2.95
Sn: 0.6130 0.1250 0.2500  2 V 2.71, 2 Ta 2.84, 2 Sn 2.95

5.
This record from the Alexandria database describes crystalline TaV3Sn at its relaxed geometry. The functional is PBE-GGA.

Summary:
**DFT formation energy**: 1.24 eV/atom
**Energy above the most stable polymorph in this dataset**: 0.0 meV/atom
**Density of states at the Fermi level**: 4.48 states/eV/cell
**Symmetry**: Pm-3m

abc: 4.6390 4.6390 4.6390
angles: 90.00 90.00 90.00
Last column: nearest neighbours and their distance in Å.
Fractional coordinates of all 5 atoms:
V: 0.0000 0.0000 0.5000  2 Ta 2.32
V: 0.0000 0.5000 0.0000  2 Ta 2.32
V: 0.5000 0.0000 0.0000  2 Ta 2.32
Ta: 0.0000 0.0000 0.0000  6 V 2.32
Sn: 0.5000 0.5000 0.5000  12 V 3.28

6.
This record from the Alexandria database describes crystalline Ta2VSn at its relaxed geometry. The functional is PBE-GGA.

Summary:
**DFT formation energy**: 0.03 eV/atom
**Density of states at the Fermi level**: 2.88 states/eV/cell
**Symmetry**: P4/mmm

abc: 4.4109 4.0172 4.0172
angles: 90.00 90.00 90.00
Last column: nearest neighbours and their distance in Å.
Fractional coordinates of all 4 atoms:
V: 0.5000 0.0000 0.0000  4 Sn 2.84, 8 Ta 2.98
Ta: 0.0000 0.5000 0.0000  4 Ta 2.84, 4 Sn 2.98, 4 V 2.98
Ta: 0.0000 0.0000 0.5000  4 Ta 2.84, 4 Sn 2.98, 4 V 2.98
Sn: 0.5000 0.5000 0.5000  4 V 2.84, 8 Ta 2.98

7.
This record from the Alexandria database describes crystalline Ta6V2Sn at its relaxed geometry. The functional is PBE-GGA.

Summary:
**DFT formation energy**: 0.46 eV/atom
**Density of states at the Fermi level**: 11.72 states/eV/cell
**Symmetry**: P4/mmm

abc: 4.5064 4.5064 8.3161
angles: 90.00 90.00 90.00
Last column: nearest neighbours and their distance in Å.
Fractional coordinates of all 9 atoms:
V: 0.5000 0.5000 0.1282  1 V 2.13
V: 0.5000 0.5000 0.8718  1 V 2.13
Ta: 0.5000 0.0000 0.2918  2 V 2.63, 4 Ta 2.84
Ta: 0.5000 0.5000 0.5000  8 Ta 2.84, 2 V 3.09
Ta: 0.0000 0.5000 0.7082  2 V 2.63, 4 Ta 2.84
Ta: 0.0000 0.0000 0.5000  8 Ta 2.84
Ta: 0.5000 0.0000 0.7082  2 V 2.63, 4 Ta 2.84
Ta: 0.0000 0.5000 0.2918  2 V 2.63, 4 Ta 2.84
Sn: 0.0000 0.0000 0.0000  8 Ta 3.31, 8 V 3.36

8.
This record from the Alexandria database describes crystalline Ta3V4Sn at its relaxed geometry. The functional is PBE-GGA.

Summary:
**DFT formation energy**: -0.02 eV/atom
**Density of states at the Fermi level**: 20.42 states/eV/cell
**Symmetry**: P4/mmm

abc: 4.5268 6.3345 9.0529
angles: 90.00 90.00 90.00
Last column: nearest neighbours and their distance in Å.
Fractional coordinates of all 16 atoms:
V: 0.0003 0.7638 0.7500  6 Ta 2.71-2.81, 2 Sn 2.81, 1 V 2.99
V: 0.5000 0.2362 0.5000  6 Ta 2.71-2.81, 2 Sn 2.81, 1 V 2.99
V: 0.5000 0.7638 0.5000  6 Ta 2.71-2.81, 2 Sn 2.81, 1 V 2.99
V: 0.9997 0.2362 0.2500  6 Ta 2.71-2.81, 2 Sn 2.81, 1 V 2.99
V: 0.0003 0.2362 0.7500  6 Ta 2.71-2.81, 2 Sn 2.81, 1 V 2.99
V: 0.5000 0.7638 0.0000  6 Ta 2.71-2.81, 2 Sn 2.81, 1 V 2.99
V: 0.9997 0.7638 0.2500  6 Ta 2.71-2.81, 2 Sn 2.81, 1 V 2.99
V: 0.5000 0.2362 0.0000  6 Ta 2.71-2.81, 2 Sn 2.81, 1 V 2.99
Ta: 0.4998 0.5000 0.2500  8 V 2.81
Ta: 0.0000 0.0000 0.0000  8 V 2.71
Ta: 0.5002 0.5000 0.7500  8 V 2.81
Ta: 0.4999 0.0000 0.2500  8 V 2.71
Ta: 0.0000 0.0000 0.5000  8 V 2.71
Ta: 0.5001 0.0000 0.7500  8 V 2.71
Sn: 0.0000 0.5000 0.0000  8 V 2.81
Sn: 0.0000 0.5000 0.5000  8 V 2.81

Copy entry 4 word for word.
This record from the Alexandria database describes crystalline TaVSn2 at its relaxed geometry. The functional is PBE-GGA.

Summary:
**DFT formation energy**: 0.59 eV/atom
**Energy above the most stable polymorph in this dataset**: 257.6 meV/atom
**Density of states at the Fermi level**: 6.95 states/eV/cell
**Symmetry**: I-42d

abc: 7.5638 7.5638 6.1076
angles: 51.74 51.74 90.00
Last column: nearest neighbours and their distance in Å.
Fractional coordinates of all 8 atoms:
V: 0.2500 0.7500 0.5000  4 Sn 2.71, 2 Ta 2.95
V: 0.5000 0.5000 0.0000  4 Sn 2.71, 2 Ta 2.95
Ta: 0.7500 0.2500 0.5000  4 Sn 2.84, 2 V 2.95
Ta: 0.0000 0.0000 0.0000  4 Sn 2.84, 2 V 2.95
Sn: 0.1370 0.6250 0.2500  2 V 2.71, 2 Ta 2.84, 2 Sn 2.95
Sn: 0.3750 0.3870 0.7500  2 V 2.71, 2 Ta 2.84, 2 Sn 2.95
Sn: 0.8750 0.8630 0.7500  2 V 2.71, 2 Ta 2.84, 2 Sn 2.95
Sn: 0.6130 0.1250 0.2500  2 V 2.71, 2 Ta 2.84, 2 Sn 2.95